First-principles (PBE-GGA) data for crystalline ZnSiSb2 at its relaxed geometry, as listed in Alexandria via LeMat-Bulk.

ΔE_f (raw) = 0.336 eV/atom
Calculated total energy = -3.40 eV per atom
DOS(E_F) = 0.32 states/eV/atom

abc: 3.842 4.985 9.318
angles: 90.00 90.00 90.00
Space group Cmm2 (No. 35)
Unique sites:
Zn: 0.000 0.000 0.000 [2 per cell]
Si: 0.000 0.500 0.813 [2 per cell]
Sb: 0.000 0.000 0.573 [2 per cell]
Sb: 0.000 0.500 0.234 [2 per cell]